1.
DFT (GGA-PBE) results for a relaxed RbTlSnPb2 crystal.

```
RbTlSnPb2
1.0
-2.282 4.231 1.911
-4.636 -2.188 -0.693
3.787 -3.755 5.832
Rb Tl Sn Pb
1 1 1 2
direct
0.000 0.000 0.000
0.250 0.750 0.500
0.750 0.250 0.500
0.619 0.619 0.238
0.381 0.381 0.762
```

* space group: No. 119
* total energy: -15.137 eV for the cell shown
* crystal system: tetragonal

2.
DFT (GGA-PBE) results for a relaxed RbV2SnPb crystal.

```
RbV2SnPb
1.0
-1.706 -1.360 -4.891
5.685 -0.141 -1.944
0.325 -5.179 1.327
Pb Sn Rb V
1 1 1 2
direct
0.500 0.500 0.500
0.000 0.500 0.000
0.000 0.000 0.000
0.000 0.000 0.500
0.500 0.000 0.000
```

* space group: No. 123
* total energy: -16.720 eV for the cell shown
* crystal system: tetragonal

3.
DFT (GGA-PBE) results for a relaxed Rb2ZnSn4Pb3 crystal.

```
Rb2ZnSn4Pb3
1.0
-1.403 4.956 -0.449
-4.268 -1.438 -2.540
-6.506 -0.810 11.388
Rb Zn Sn Pb
2 1 4 3
direct
0.500 0.000 0.260
0.000 0.500 0.740
0.500 0.500 0.500
0.500 0.500 0.000
0.000 0.000 0.000
0.500 0.000 0.619
0.000 0.500 0.381
0.000 0.000 0.500
0.500 0.000 0.864
0.000 0.500 0.136
```

* space group: No. 115
* total energy: -30.995 eV for the cell shown
* crystal system: tetragonal

4.
DFT (GGA-PBE) results for a relaxed RbSrPb6 crystal.

```
RbSrPb6
1.0
5.828 0.000 0.000
0.000 6.589 0.000
0.000 0.000 7.310
Rb Sr Pb
1 1 6
direct
0.000 0.643 0.000
0.500 0.368 0.500
0.500 0.856 0.277
0.000 0.154 0.732
0.000 0.154 0.268
0.500 0.856 0.723
0.000 0.727 0.500
0.500 0.242 0.000
```

* space group: No. 25
* total energy: -26.223 eV for the cell shown
* crystal system: orthorhombic

5.
DFT (GGA-PBE) results for a relaxed RbSr3Pb crystal.

```
RbSr3Pb
1.0
6.418 0.000 0.000
0.000 6.418 0.000
0.000 0.000 6.418
Pb Sr Rb
1 3 1
direct
0.500 0.500 0.500
0.000 0.500 0.000
0.000 0.000 0.500
0.500 0.000 0.000
0.000 0.000 0.000
```

* space group: No. 221
* crystal system: cubic
* energy above the lowest structure with this stoichiometry: 969 meV per atom

6.
DFT (GGA-PBE) results for a relaxed Rb2Sr2Pb crystal.

```
Rb2Sr2Pb
1.0
-4.297 -0.503 -7.830
-6.322 -5.066 3.794
-3.860 6.110 1.726
Pb Sr Rb
2 4 4
direct
0.000 0.000 0.000
0.500 0.500 0.000
0.334 0.834 0.000
0.834 0.666 0.000
0.666 0.166 0.000
0.166 0.334 0.000
0.180 0.680 0.500
0.680 0.820 0.500
0.820 0.320 0.500
0.320 0.180 0.500
```

* space group: No. 127
* total energy: -18.420 eV for the cell shown
* crystal system: tetragonal

7.
DFT (GGA-PBE) results for a relaxed RbSrPb4 crystal.

```
RbSrPb4
1.0
-0.395 5.649 3.665
-5.133 0.888 4.285
1.085 -0.214 6.654
Pb Sr Rb
4 1 1
direct
0.626 0.626 0.122
0.626 0.122 0.626
0.626 0.626 0.626
0.122 0.626 0.626
0.000 0.000 0.000
0.250 0.250 0.250
```

* space group: No. 216
* total energy: -18.888 eV for the cell shown
* crystal system: cubic

8.
DFT (GGA-PBE) results for a relaxed Rb3SrPb crystal.

```
Rb3SrPb
1.0
-3.650 -2.914 -6.332
-6.197 -1.917 4.454
-3.192 7.053 -1.406
Pb Sr Rb
1 1 3
direct
0.500 0.500 0.500
0.000 0.000 0.000
0.000 0.500 0.000
0.000 0.000 0.500
0.500 0.000 0.000
```

* space group: No. 221
* crystal system: cubic
* energy above the lowest structure with this stoichiometry: 475 meV per atom

9.
DFT (GGA-PBE) results for a relaxed RbSr3Pb crystal.

```
RbSr3Pb
1.0
-5.876 -1.478 2.670
-1.124 -4.338 -4.875
2.838 -4.779 3.599
Pb Sr Rb
1 3 1
direct
0.000 0.000 0.000
0.000 0.500 0.000
0.000 0.000 0.500
0.500 0.000 0.000
0.500 0.500 0.500
```

* space group: No. 221
* crystal system: cubic
* energy above the lowest structure with this stoichiometry: 0 meV per atom

10.
DFT (GGA-PBE) results for a relaxed Rb2SrPb crystal.

```
Rb2SrPb
1.0
4.113 0.000 0.000
2.056 3.562 0.000
2.056 1.187 15.305
Pb Sr Rb
1 1 2
direct
0.000 0.000 0.000
0.500 0.500 0.500
0.080 0.080 0.761
0.920 0.920 0.239
```

* space group: No. 166
* total energy: -6.244 eV for the cell shown
* crystal system: trigonal

11.
DFT (GGA-PBE) results for a relaxed Rb2SrPb crystal.

```
Rb2SrPb
1.0
5.253 0.000 0.000
0.000 5.253 0.000
2.627 2.627 14.196
Pb Sr Rb
2 2 4
direct
0.000 0.000 0.000
0.750 0.250 0.500
0.500 0.500 0.000
0.250 0.750 0.500
0.642 0.125 0.250
0.108 0.625 0.250
0.375 0.358 0.750
0.875 0.892 0.750
```

* space group: No. 122
* total energy: -14.062 eV for the cell shown
* crystal system: tetragonal

12.
DFT (GGA-PBE) results for a relaxed Rb3SrPb crystal.

```
Rb3SrPb
1.0
-5.366 -4.529 -1.703
2.585 -4.833 4.708
-4.090 2.888 5.209
Pb Sr Rb
1 1 3
direct
0.000 0.000 0.000
0.500 0.500 0.500
0.000 0.500 0.000
0.000 0.000 0.500
0.500 0.000 0.000
```

* space group: No. 221
* crystal system: cubic
* energy above the lowest structure with this stoichiometry: 0 meV per atom

What are the density values for these records? In order: 7.290; 4.944; 6.299; 8.378; 3.490; 3.091; 7.667; 1.879; 3.177; 3.449; 3.948; 2.427 Mg/m³.